Record 1
6
Lattice="0.0000 4.4792 4.4792 4.4792 0.0000 4.4792 4.4792 4.4792 0.0000" Properties=species:S:1:pos:R:3 comment="GGA-PBE La4CrNi, optimized geometry" dft_energy_ev_per_atom=-4.982 spacegroup=F-43m mass_density_g_cm3=6.16 volume_a3_per_cell=179.7 pbc="T T T"
La 3.3637 5.5947 5.5947
La 5.5947 5.5947 3.3637
La 5.5947 3.3637 5.5947
La 3.3637 3.3637 3.3637
Cr 0.0000 0.0000 0.0000
Ni 6.7188 6.7188 6.7188

Record 2
20
Lattice="3.8185 0.0000 0.0000 0.0000 11.9851 0.0000 0.0000 0.0000 11.9851" Properties=species:S:1:pos:R:3 comment="GGA-PBE Pr5Hg2Rh2Au, optimized geometry" dft_energy_ev_per_atom=-4.790 spacegroup=P4/mbm mass_density_g_cm3=9.13 volume_a3_per_cell=548.5 pbc="T T T"
Pr 1.9093 2.3613 1.0398
Pr 1.9093 9.6238 10.9453
Pr 1.9093 1.0398 9.6238
Pr 1.9093 8.3539 4.9528
Pr 1.9093 10.9453 2.3613
Pr 1.9093 3.6313 7.0324
Pr 1.9093 7.0324 8.3539
Pr 1.9093 4.9528 3.6313
Pr 1.9093 5.9926 0.0000
Pr 1.9093 0.0000 5.9926
Hg 0.0000 8.0464 2.0538
Hg 0.0000 3.9387 9.9313
Hg 0.0000 2.0538 3.9387
Hg 0.0000 9.9313 8.0464
Rh 0.0000 1.5803 7.5729
Rh 0.0000 10.4048 4.4123
Rh 0.0000 7.5729 10.4048
Rh 0.0000 4.4123 1.5803
Au 0.0000 0.0000 0.0000
Au 0.0000 5.9926 5.9926

Record 3
10
Lattice="4.3117 0.0000 0.0000 0.0000 4.3117 0.0000 0.0000 0.0000 10.0704" Properties=species:S:1:pos:R:3 comment="GGA-PBE Sm2SiGe3Pd4, optimized geometry" raw_formation_energy_ev_per_atom=-0.82 spacegroup=P-4m2 mass_density_g_cm3=8.62 volume_a3_per_cell=187.2 pbc="T T T"
Sm 2.1558 0.0000 2.5639
Sm 0.0000 2.1558 7.5064
Si 2.1558 2.1558 5.0352
Ge 0.0000 0.0000 5.0352
Ge 2.1558 0.0000 8.7314
Ge 0.0000 2.1558 1.3390
Pd 2.1558 2.1558 0.0000
Pd 0.0000 0.0000 0.0000
Pd 2.1558 0.0000 6.2557
Pd 0.0000 2.1558 3.8147

Record 4
5
Lattice="4.5053 0.0000 0.0000 0.0000 5.0002 0.0000 0.0000 0.0000 4.5053" Properties=species:S:1:pos:R:3 comment="GGA-PBE CoTcHgP2, optimized geometry" dft_energy_ev_per_atom=-5.063 spacegroup=P4/mmm mass_density_g_cm3=6.86 volume_a3_per_cell=101.5 pbc="T T T"
P 0.0000 0.0000 2.2527
P 2.2527 0.0000 0.0000
Co 0.0000 2.5001 0.0000
Hg 2.2527 2.5001 2.2527
Tc 0.0000 0.0000 0.0000

Record 5
14
Lattice="8.0381 0.0000 0.0000 0.0000 8.0381 0.0000 0.0000 0.0000 8.0381" Properties=species:S:1:pos:R:3 comment="GGA-PBE Na3AcIn3, optimized geometry" dft_energy_ev_per_atom=-1.914 spacegroup=Pm-3n mass_density_g_cm3=4.10 volume_a3_per_cell=519.4 pbc="T T T"
Na 2.0095 0.0000 4.0191
Na 0.0000 4.0191 2.0095
Na 4.0191 6.0286 0.0000
Na 6.0286 0.0000 4.0191
Na 0.0000 4.0191 6.0286
Na 4.0191 2.0095 0.0000
Ac 4.0191 4.0191 4.0191
Ac 0.0000 0.0000 0.0000
In 0.0000 2.0095 4.0191
In 0.0000 6.0286 4.0191
In 4.0191 0.0000 6.0286
In 6.0286 4.0191 0.0000
In 4.0191 0.0000 2.0095
In 2.0095 4.0191 0.0000

Record 6
24
Lattice="-1.4404 -2.4124 -3.8820 9.0385 -8.4661 1.9073 -8.4004 -7.2511 7.6229" Properties=species:S:1:pos:R:3 comment="GGA-PBE La3SnPb2, optimized geometry" relative_energy_mev_per_atom=26 spacegroup=Pnma mass_density_g_cm3=7.80 volume_a3_per_cell=808.4 pbc="T T T"
La 2.6944 -4.2167 0.1417
La -3.4967 -13.9129 5.5065
La 3.1295 -12.5596 2.2069
La -3.9318 -5.5700 3.4412
La 4.0677 -8.2379 2.1309
La -4.8701 -9.8917 3.5172
La -1.4968 -5.4916 -0.4687
La 0.6945 -12.6380 6.1169
La 0.4389 -7.0626 2.7471
La -1.2412 -11.0670 2.9011
La 6.3839 -10.6494 -0.1877
La -7.1862 -7.4802 5.8358
Sn -0.2642 -2.5621 0.2113
Sn -0.5381 -15.5675 5.4369
Sn 1.4117 -9.8340 1.1505
Sn -2.2140 -8.2956 4.4976
Pb 1.7854 -10.2715 4.2415
Pb -2.5877 -7.8581 1.4066
Pb -7.5442 -10.7752 5.0585
Pb 6.7419 -7.3544 0.5897
Pb 5.9063 -11.1824 3.2786
Pb -6.7086 -6.9471 2.3696
Pb 1.7002 -7.2636 -0.5538
Pb -2.5025 -10.8660 6.2019

Record 7
4
Lattice="-3.6205 2.1273 -1.0483 1.7899 -1.7538 -3.5287 -2.7187 -2.8377 -1.8146" Properties=species:S:1:pos:R:3 comment="GGA-PBE Si2NiCl, optimized geometry" relative_energy_mev_per_atom=599 raw_formation_energy_ev_per_atom=0.27 spacegroup=I4/mmm mass_density_g_cm3=4.00 volume_a3_per_cell=62.4 pbc="T T T"
Cl -0.4644 -2.2957 -2.6716
Ni -0.9153 0.1867 -2.2885
Si 0.0000 0.0000 0.0000
Si -3.1696 -0.3552 -1.4315

Record 8
4
Lattice="4.6807 -0.0013 0.0000 1.7169 4.3544 0.0000 -3.1988 -2.1766 2.6342" Properties=species:S:1:pos:R:3 comment="GGA-PBE NiIrRu2, optimized geometry" relative_energy_mev_per_atom=50 spacegroup=I4/mmm mass_density_g_cm3=14.01 volume_a3_per_cell=53.7 pbc="T T T"
Ir 0.8585 2.1772 1.3171
Ni 2.3403 -0.0007 1.3171
Ru 0.0000 0.0000 0.0000
Ru 3.1988 2.1766 0.0000

Record 9
10
Lattice="4.9595 0.0000 2.3921 2.4797 6.1774 1.1960 -0.2039 0.0000 6.7600" Properties=species:S:1:pos:R:3 comment="GGA-PBE Tm5GeS4, optimized geometry" raw_formation_energy_ev_per_atom=-1.77 spacegroup=I4/m mass_density_g_cm3=8.26 volume_a3_per_cell=210.1 pbc="T T T"
Tm 5.2961 2.4727 8.0444
Tm 3.3551 4.9449 5.7313
Tm 3.8903 1.2325 4.6217
Tm 1.9494 3.7047 2.3086
Tm 2.4849 0.0000 1.1985
Ge 0.0051 0.0000 0.0025
S 2.8220 2.4848 6.8367
S 5.8401 4.9319 6.9165
S 1.4053 1.2455 3.4366
S 4.4235 3.6926 3.5163

Record 10
7
Lattice="-2.0218 3.4670 0.0434 -0.0374 -0.1066 6.7697 6.5213 1.5114 -2.5339" Properties=species:S:1:pos:R:3 comment="GGA-PBE Pd3Se2I2, optimized geometry" raw_formation_energy_ev_per_atom=-0.14 spacegroup=C2/m mass_density_g_cm3=7.02 volume_a3_per_cell=172.9 pbc="T T T"
Pd 0.0000 0.0000 0.0000
Pd 1.8815 3.4145 0.4851
Pd 2.5806 1.4574 3.7942
Se 2.6744 3.8468 2.8814
Se 1.7877 1.0250 1.3979
I 0.1894 2.3696 5.1190
I 4.2728 2.5022 -0.8397

Record 11
5
Lattice="-0.7319 -2.7783 -1.9216 2.8451 0.5530 -1.8832 5.1730 -5.5890 3.0019" Properties=species:S:1:pos:R:3 comment="GGA-PBE HfSi2As2, optimized geometry" relative_energy_mev_per_atom=0 raw_formation_energy_ev_per_atom=0.00 spacegroup=I4/mmm mass_density_g_cm3=6.84 volume_a3_per_cell=93.3 pbc="T T T"
As 1.8195 -1.9423 -0.9935
As 5.4667 -5.8720 0.1905
Hf 0.0000 0.0000 0.0000
Si 2.7489 -4.7400 -0.4111
Si 4.5374 -3.0743 -0.3919

Record 12
5
Lattice="-1.7961 2.3373 -3.5746 -4.2474 -0.5706 1.7610 3.7009 5.1176 4.4894" Properties=species:S:1:pos:R:3 comment="GGA-PBE PrUTeSe2, optimized geometry" raw_formation_energy_ev_per_atom=-1.00 spacegroup=I4mm mass_density_g_cm3=7.32 volume_a3_per_cell=150.7 pbc="T T T"
Pr -2.5142 5.3673 1.7701
U 0.1785 1.5768 0.9414
Te -3.0173 0.9227 -0.8833
Se -0.5640 4.1196 -0.0256
Se -1.7897 2.6656 2.6422

Record 13
8
Lattice="5.1871 0.0000 0.0000 2.5936 4.4922 0.0000 2.5936 1.4974 8.5956" Properties=species:S:1:pos:R:3 comment="GGA-PBE PmEr2ScHg4, optimized geometry" dft_energy_ev_per_atom=-3.125 spacegroup=R-3m mass_density_g_cm3=11.00 volume_a3_per_cell=200.3 pbc="T T T"
Pm 0.0000 0.0000 0.0000
Er 7.7807 4.4922 6.3815
Er 2.5936 1.4974 2.2141
Sc 5.1871 2.9948 4.2978
Hg 5.1871 2.9948 7.3804
Hg 7.7807 4.4922 3.2911
Hg 2.5936 1.4974 5.3045
Hg 5.1871 2.9948 1.2151

Record 14
4
Lattice="4.5630 0.0000 0.0000 0.0000 4.5630 0.0000 0.0000 0.0000 2.7516" Properties=species:S:1:pos:R:3 comment="GGA-PBE LiW2Cl, optimized geometry" relative_energy_mev_per_atom=1217 raw_formation_energy_ev_per_atom=1.26 spacegroup=P4/mmm mass_density_g_cm3=11.89 volume_a3_per_cell=57.3 pbc="T T T"
Cl 2.2815 0.0000 1.3758
Li 0.0000 2.2815 1.3758
W 0.0000 0.0000 0.0000
W 2.2815 2.2815 0.0000

Record 15
11
Lattice="-2.0610 0.7716 4.6657 -1.0168 -5.0428 0.3848 11.4340 0.4947 2.1171" Properties=species:S:1:pos:R:3 comment="GGA-PBE Li2Mg3Tl6, optimized geometry" dft_energy_ev_per_atom=-2.020 spacegroup=I4/mmm mass_density_g_cm3=7.41 volume_a3_per_cell=294.1 pbc="T T T"
Li 8.7776 -1.4556 4.1181
Li -0.4214 -2.3209 3.0495
Mg 0.0000 0.0000 0.0000
Mg 4.9773 -3.2162 5.5824
Mg 3.3789 -0.5603 1.5852
Tl 1.3085 -2.8227 1.0448
Tl 0.7864 0.0845 3.1853
Tl 7.0477 -0.9538 6.1228
Tl 7.5698 -3.8610 3.9823
Tl 2.3470 -2.7800 4.3483
Tl 6.0092 -0.9965 2.8193

Record 16
8
Lattice="-5.9372 -2.7716 -1.5856 2.3234 -0.9836 -6.2515 4.2505 -4.4456 5.8215" Properties=species:S:1:pos:R:3 comment="GGA-PBE CsTl2HBr4, optimized geometry" dft_energy_ev_per_atom=-2.860 spacegroup=Fmm2 mass_density_g_cm3=4.48 volume_a3_per_cell=319.9 pbc="T T T"
Cs -3.2659 -3.3936 -7.0825
Tl 2.5203 -3.5112 -1.8775
Tl -1.6100 -4.4052 0.4555
H -0.9172 -0.9531 -1.9892
Br 0.5968 -0.5807 -2.6959
Br -2.3226 -1.2126 -1.0469
Br 1.3337 -3.0445 1.1945
Br -0.4728 -4.9232 -2.7237